Computed, not measured: a geometry-optimized LaGdCd structure at the GGA-PBE level of DFT.

abc: 3.778 3.778 12.979
angles: 90.00 90.00 90.00
Space group I4mm (No. 107)
Unique sites:
La: 0.000 0.000 0.000 (multiplicity 2)
Gd: 0.000 0.000 0.309 (multiplicity 2)
Cd: 0.000 0.000 0.666 (multiplicity 2)

Summary:
Its volume is 30.9 A^3/atom. As for the calculated total energy: -6.8583 eV/atom. Its magnetization is 7.77 μB/f.u. The value obtained for the offset from the most stable computed form is 0 meV per atom. Its formation energy is -0.217 eV per atom.